1.
TmMgCu2Si2 after structural relaxation, computed with PBE.

Cell: 4.1128 4.1128 6.7009 Å, 90.00 90.00 120.00°
With the nearest neighbours (Å) after each atom.
Positions (direct):
Mg 0.0000 0.0000 0.0000  6 Cu 2.75, 6 Si 2.87
Si 0.6667 0.3333 0.7591  3 Cu 2.39
Cu 0.6667 0.3333 0.2062  3 Si 2.39
Cu 0.3333 0.6667 0.7938  3 Si 2.39
Tm 0.0000 0.0000 0.5000  6 Si 2.94, 6 Cu 3.08
Si 0.3333 0.6667 0.2409  3 Cu 2.39

Output
- total magnetic moment (μB per formula unit) = 0.000
- energy relative to the elements, uncorrected (eV/atom) = -0.443
- uncorrected energy (eV per atom) = -4.627

2.
CsBaHBr2 after structural relaxation, computed with PBE.

Cell: 6.4300 6.4300 5.0690 Å, 90.00 90.00 90.00°
With the nearest neighbours (Å) after each atom.
Positions (direct):
Br 0.5000 0.0000 0.0000  2 Ba 3.21
Ba 0.0000 0.0000 0.0000  2 H 2.53
Cs 0.5000 0.5000 0.5000  8 Br 4.09, 4 H 4.55
Br 0.0000 0.5000 0.0000  2 Ba 3.21
H 0.0000 0.0000 0.5000  2 Ba 2.53

Output
- total magnetic moment (μB per formula unit) = 0.000
- uncorrected energy (eV per atom) = -3.333

3.
TiP2O2 after structural relaxation, computed with PBE.

Cell: 3.6860 3.6860 5.6498 Å, 90.00 90.00 90.00°
With the nearest neighbours (Å) after each atom.
Positions (direct):
O 0.5000 0.0000 0.0000  2 Ti 1.84
Ti 0.0000 0.0000 0.0000  4 O 1.84
O 0.0000 0.5000 0.0000  2 Ti 1.84
P 0.0000 0.0000 0.5000  4 P 2.61, 2 Ti 2.82
P 0.5000 0.5000 0.5000  4 P 2.61

Output
- energy above the most stable polymorph in this dataset (eV/atom) = 0.000
- total magnetic moment (μB per formula unit) = 0.803
- energy relative to the elements, uncorrected (eV/atom) = -1.000
- uncorrected energy (eV per atom) = -6.726

4.
Rb2PuUTe4 after structural relaxation, computed with PBE.

Cell: 4.5800 7.9425 8.9442 Å, 107.13 90.00 90.00°
With the nearest neighbours (Å) after each atom.
Positions (direct):
Pu 0.5000 0.5000 0.0000  6 Te 3.17-3.18
Te 0.0000 0.7384 0.2007  1 U 3.12, 2 Pu 3.17
Te 0.5000 0.7708 0.7994  2 U 3.14, 1 Pu 3.18
Rb 0.0000 0.5000 0.5000  6 Te 3.69-3.71
Te 0.0000 0.2616 0.7993  1 U 3.12, 2 Pu 3.17
Rb 0.5000 0.0000 0.5000  6 Te 3.66-3.67
U 0.0000 0.0000 0.0000  6 Te 3.12-3.14
Te 0.5000 0.2292 0.2006  2 U 3.14, 1 Pu 3.18

Output
- total magnetic moment (μB per formula unit) = 8.000
- energy relative to the elements, uncorrected (eV/atom) = -0.986
- uncorrected energy (eV per atom) = -6.001

5.
CePu2ReN4 after structural relaxation, computed with PBE.

Cell: 3.3259 6.1450 11.6545 Å, 90.00 90.00 105.70°
With the nearest neighbours (Å) after each atom.
Positions (direct):
Ce 0.1125 0.2250 0.7500  6 N 2.46-2.60
Pu 0.6319 0.2639 0.0470  5 N 2.32-2.51
N 0.7290 0.4580 0.8741  1 Re 2.06
N 0.2710 0.5420 0.3741  1 Re 2.06
Re 0.1475 0.2950 0.2500  4 N 2.06-2.09
Pu 0.3681 0.7361 0.5470  5 N 2.32-2.51
N 0.2710 0.5420 0.1259  1 Re 2.06
Pu 0.6319 0.2639 0.4530  5 N 2.32-2.51
N 0.0000 0.0000 0.0000  4 Pu 2.35
N 0.5408 0.0816 0.2500  2 Re 2.09
Ce 0.8875 0.7750 0.2500  6 N 2.46-2.60
Pu 0.3681 0.7361 0.9530  5 N 2.32-2.51
N 0.7290 0.4580 0.6259  1 Re 2.06
N 0.0000 0.0000 0.5000  4 Pu 2.35
Re 0.8525 0.7050 0.7500  4 N 2.06-2.09
N 0.4592 0.9184 0.7500  2 Re 2.09

Output
- total magnetic moment (μB per formula unit) = 8.729
- energy relative to the elements, uncorrected (eV/atom) = -0.948
- uncorrected energy (eV per atom) = -10.991

6.
LiNdMgSn after structural relaxation, computed with PBE.

Cell: 5.1589 5.1589 5.1589 Å, 60.00 60.00 60.00°
With the nearest neighbours (Å) after each atom.
Positions (direct):
Sn 0.2500 0.2500 0.2500  4 Mg 3.16, 4 Nd 3.16
Li 0.7500 0.7500 0.7500  4 Nd 3.16, 4 Mg 3.16
Nd 0.0000 0.0000 0.0000  4 Sn 3.16, 4 Li 3.16
Mg 0.5000 0.5000 0.5000  4 Sn 3.16, 4 Li 3.16

Output
- total magnetic moment (μB per formula unit) = 0.000
- E_form (eV per atom) = -0.328
- uncorrected energy (eV per atom) = -3.397